Entry 1:
This record from Alexandria describes crystalline TeRuW2 at its relaxed geometry. The functional is PBE.

Summary:
The value obtained for the calculated total energy is -9.102 eV per atom. The space group is P4/mmm (123). The uncorrected formation energy is 0.4788 eV/atom.

The structure in POSCAR format:
```
TeRuW2
1.0
3.0701 0.0000 0.0000
0.0000 3.0701 0.0000
0.0000 0.0000 7.0755
Te Ru W
1 1 2
Direct
0.0000 0.0000 0.0000
0.0000 0.0000 0.5000
0.5000 0.5000 0.2589
0.5000 0.5000 0.7411
```

=====

Entry 2:
This record from Alexandria describes crystalline LaY2HfH at its relaxed geometry. The functional is PBE.

Summary:
The value obtained for the calculated total energy is -6.268 eV per atom. The space group is P4/mmm (123). The value obtained for the energy above the most stable polymorph in this dataset is 0 meV per atom.

The structure in POSCAR format:
```
LaY2HfH
1.0
4.9143 0.0000 0.0000
0.0000 4.9143 0.0000
0.0000 0.0000 4.9782
La Y Hf H
1 2 1 1
Direct
0.0000 0.0000 0.0000
0.0000 0.5000 0.5000
0.5000 0.0000 0.5000
0.5000 0.5000 0.0000
0.0000 0.0000 0.5000
```

=====

Entry 3:
This record from Alexandria describes crystalline BaZrTe2N at its relaxed geometry. The functional is PBE.

Summary:
The value obtained for the calculated total energy is -5.862 eV per atom. The space group is P4/mmm (123). The uncorrected formation energy is -0.8462 eV/atom. The value obtained for the energy above the most stable polymorph in this dataset is 0 meV per atom.

The structure in POSCAR format:
```
BaZrTe2N
1.0
5.9304 0.0000 0.0000
0.0000 5.9304 0.0000
0.0000 0.0000 4.1600
Ba Zr Te N
1 1 2 1
Direct
0.0000 0.0000 0.0000
0.5000 0.5000 0.5000
0.0000 0.5000 0.5000
0.5000 0.0000 0.5000
0.5000 0.5000 0.0000
```

=====

Entry 4:
This record from Alexandria describes crystalline BaBe2Mo at its relaxed geometry. The functional is PBE.

Summary:
The value obtained for the calculated total energy is -4.504 eV per atom. The space group is C2/m (12). The value obtained for the energy above the most stable polymorph in this dataset is 86 meV per atom. The formation energy comes out at 0.548 eV per atom.

The structure in POSCAR format:
```
BaBe2Mo
1.0
3.8467 -1.8962 0.0000
3.8467 1.8962 0.0000
-2.0691 0.0000 5.8095
Ba Be Mo
1 2 1
Direct
0.0000 0.0000 0.0000
0.2004 0.2004 0.5520
0.7996 0.7996 0.4480
0.5000 0.5000 0.5000
```

=====

Entry 5:
This record from Alexandria describes crystalline Na4U3WN8 at its relaxed geometry. The functional is PBE.

Summary:
The value obtained for the calculated total energy is -8.266 eV per atom. The space group is R-3m (166). The uncorrected formation energy is -0.8472 eV/atom.

The structure in POSCAR format:
```
Na4U3WN8
1.0
3.3719 1.9468 5.7149
-3.3719 1.9468 5.7149
0.0000 -3.8936 5.7149
Na U W N
4 3 1 8
Direct
0.0000 0.0000 0.0000
0.0000 0.5000 0.5000
0.5000 0.0000 0.5000
0.5000 0.5000 0.0000
0.0000 0.0000 0.5000
0.0000 0.5000 0.0000
0.5000 0.0000 0.0000
0.5000 0.5000 0.5000
0.2302 0.2302 0.2302
0.2405 0.7226 0.7226
0.2774 0.2774 0.7595
0.2774 0.7595 0.2774
0.7226 0.2405 0.7226
0.7226 0.7226 0.2405
0.7595 0.2774 0.2774
0.7698 0.7698 0.7698
```

=====

Entry 6:
This record from Alexandria describes crystalline Ce6NdO12 at its relaxed geometry. The functional is PBE.

Summary:
The value obtained for the calculated total energy is -8.708 eV per atom. The space group is R-3 (148). The uncorrected formation energy is -3.4517 eV/atom.

The structure in POSCAR format:
```
Ce6NdO12
1.0
5.2008 3.0027 3.1850
-5.2008 3.0027 3.1850
0.0000 -6.0054 3.1850
Ce Nd O
6 1 12
Direct
0.1004 0.7997 0.6373
0.2003 0.3627 0.8996
0.3627 0.8996 0.2003
0.6373 0.1004 0.7997
0.7997 0.6373 0.1004
0.8996 0.2003 0.3627
0.5000 0.5000 0.5000
0.0686 0.9205 0.3220
0.0795 0.6780 0.9314
0.1726 0.4275 0.5766
0.3220 0.0686 0.9205
0.4234 0.8274 0.5725
0.4275 0.5766 0.1726
0.5725 0.4234 0.8274
0.5766 0.1726 0.4275
0.6780 0.9314 0.0795
0.8274 0.5725 0.4234
0.9205 0.3220 0.0686
0.9314 0.0795 0.6780
```

=====

> What is the calculated total energy in the third record?

-5.862 eV per atom